[1]
This record from the Open Quantum Materials Database describes a relaxed structure of FeNiMoAs. The functional is PBE-GGA.

Unit cell a=4.199 b=4.199 c=4.199 alpha=60.00 beta=60.00 gamma=60.00
Element x y z (fractional)
Ni: 0.500 0.500 0.500
Mo: 0.250 0.250 0.250
As: 0.000 0.000 0.000
Fe: 0.750 0.750 0.750

[2]
This record from the Open Quantum Materials Database describes a relaxed structure of FeMoAsOs. The functional is PBE-GGA.

Unit cell a=4.333 b=4.333 c=4.333 alpha=60.00 beta=60.00 gamma=60.00
Element x y z (fractional)
As: 0.000 0.000 0.000
Os: 0.500 0.500 0.500
Mo: 0.250 0.250 0.250
Fe: 0.750 0.750 0.750

no.,volume (Å³/atom),E_tot (eV/atom)
1,13.09,-7.28
2,14.38,-8.42